Entry from Alexandria via LeMat-Bulk: a relaxed structure of K4Tb3ScSe8 (PBE).

## Properties
* uncorrected formation energy: -1.723 eV per atom
* space-group type: No. 166

POSCAR file:
```
K4Tb3ScSe8
1.0
4.179 2.413 7.672
-4.179 2.413 7.672
0.000 -4.825 7.672
K Tb Sc Se
4 3 1 8
direct
0.000 0.000 0.000 K
0.000 0.500 0.500 K
0.500 0.000 0.500 K
0.500 0.500 0.000 K
0.000 0.000 0.500 Tb
0.000 0.500 0.000 Tb
0.500 0.000 0.000 Tb
0.500 0.500 0.500 Sc
0.236 0.236 0.236 Se
0.245 0.728 0.728 Se
0.272 0.272 0.755 Se
0.272 0.755 0.272 Se
0.728 0.245 0.728 Se
0.728 0.728 0.245 Se
0.755 0.272 0.272 Se
0.764 0.764 0.764 Se
```